Entry 1:
Below is crystalline ScP2PbO at its relaxed geometry, with properties calculated at the GGA-PBEsol level.

Unit cell a=4.1119 b=5.0748 c=5.0748 alpha=90.00 beta=90.00 gamma=90.00
Closest atoms and distances in Å follow each position.
Atoms (fractional coordinates):
1 P 0.0000 0.5000 0.0000  2 Pb 2.54
2 O 0.5000 0.0000 0.0000  2 Pb 2.06
3 Sc 0.5000 0.5000 0.5000  8 P 3.27, 4 O 3.59
4 Pb 0.0000 0.0000 0.0000  2 O 2.06
5 P 0.0000 0.0000 0.5000  2 Pb 2.54

ΔE_f (raw) ... 1.6 eV per formula unit
Density of states at the Fermi level ... 4.31 states/eV per cell
Crystal system ... tetragonal
ΔE to the lowest computed polymorph ... 778 meV/atom
Raw total energy ... -25.88 eV per formula unit

=====

Entry 2:
Below is crystalline SnPPbO2 at its relaxed geometry, with properties calculated at the GGA-PBEsol level.

Unit cell a=4.1623 b=4.1623 c=5.3180 alpha=90.00 beta=90.00 gamma=90.00
Closest atoms and distances in Å follow each position.
Atoms (fractional coordinates):
1 P 0.0000 0.0000 0.5000  2 Pb 2.66, 4 Sn 2.94
2 Sn 0.5000 0.5000 0.5000  4 P 2.94
3 O 0.0000 0.5000 0.0000  2 Pb 2.08
4 O 0.5000 0.0000 0.0000  2 Pb 2.08
5 Pb 0.0000 0.0000 0.0000  4 O 2.08

ΔE_f (raw) ... -0.1 eV per formula unit
Density of states at the Fermi level ... 2.82 states/eV per cell
Crystal system ... tetragonal
Raw total energy ... -24.70 eV per formula unit

=====

Entry 3:
Below is crystalline SnP2PbO at its relaxed geometry, with properties calculated at the GGA-PBEsol level.

Unit cell a=3.9505 b=5.1196 c=5.1196 alpha=90.00 beta=90.00 gamma=90.00
Closest atoms and distances in Å follow each position.
Atoms (fractional coordinates):
1 P 0.0000 0.5000 0.0000  2 Sn 2.56
2 Sn 0.0000 0.0000 0.0000  2 O 1.98
3 Pb 0.5000 0.5000 0.5000  8 P 3.23, 4 O 3.62
4 P 0.0000 0.0000 0.5000  2 Sn 2.56
5 O 0.5000 0.0000 0.0000  2 Sn 1.98

ΔE_f (raw) ... 0.8 eV per formula unit
Density of states at the Fermi level ... 3.37 states/eV per cell
Crystal system ... tetragonal
Raw total energy ... -24.25 eV per formula unit

=====

What did the second record say?
Below is crystalline SnPPbO2 at its relaxed geometry, with properties calculated at the GGA-PBEsol level.

Unit cell a=4.1623 b=4.1623 c=5.3180 alpha=90.00 beta=90.00 gamma=90.00
Closest atoms and distances in Å follow each position.
Atoms (fractional coordinates):
1 P 0.0000 0.0000 0.5000  2 Pb 2.66, 4 Sn 2.94
2 Sn 0.5000 0.5000 0.5000  4 P 2.94
3 O 0.0000 0.5000 0.0000  2 Pb 2.08
4 O 0.5000 0.0000 0.0000  2 Pb 2.08
5 Pb 0.0000 0.0000 0.0000  4 O 2.08

ΔE_f (raw) ... -0.1 eV per formula unit
Density of states at the Fermi level ... 2.82 states/eV per cell
Crystal system ... tetragonal
Raw total energy ... -24.70 eV per formula unit